1.
A plane-wave DFT calculation with PBE was carried out for an optimized crystal structure of Pr2Ho4Tl3H2.

a = 4.806 Å, b = 4.806 Å, c = 24.659 Å
α = 90.00°, β = 90.00°, γ = 90.00°
Space group I4/mmm (No. 139)
Asymmetric unit:
Pr  0.000  0.000  0.196 x4
Ho  0.000  0.500  0.082 x8
Tl  0.000  0.000  0.330 x4
Tl  0.000  0.000  0.500 x2
H  0.000  0.000  0.097 x4

electronic total energy	-4.097	eV per atom
mass density	9.08	g cm⁻³
V	569.63	Å³/cell


2.
A plane-wave DFT calculation with PBE was carried out for an optimized crystal structure of PrHoTlH.

a = 4.564 Å, b = 4.564 Å, c = 9.002 Å
α = 90.00°, β = 90.00°, γ = 90.00°
Space group P4/nmm (No. 129, origin choice 2)
Asymmetric unit:
Pr  0.250  0.250  0.113 x2
Ho  0.250  0.750  0.500 x2
Tl  0.250  0.250  0.741 x2
H  0.250  0.750  0.000 x2

electronic total energy	-4.117	eV per atom
mass density	9.05	g cm⁻³
V	187.52	Å³/cell


3.
A plane-wave DFT calculation with PBE was carried out for an optimized crystal structure of HoH8Pt2.

a = 8.087 Å, b = 7.304 Å, c = 3.757 Å
α = 90.00°, β = 117.57°, γ = 90.00°
Space group C2/m (No. 12)
Asymmetric unit:
Ho  0.000  0.000  0.000 x2
H  0.000  0.314  0.000 x4
H  0.160  0.500  0.662 x4
H  0.161  0.145  0.661 x8
Pt  0.000  0.307  0.500 x4

electronic total energy	-4.197	eV per atom
mass density	9.51	g cm⁻³
V	196.72	Å³/cell


4.
A plane-wave DFT calculation with PBE was carried out for an optimized crystal structure of HoHPt2.

a = 2.9898 Å, b = 2.9898 Å, c = 23.7221 Å
α = 90.00°, β = 90.00°, γ = 120.00°
Space group R-3m (No. 166, hexagonal axes)
Asymmetric unit:
Ho  0.0000  0.0000  0.0000 x3
H  0.0000  0.0000  0.5000 x3
Pt  0.0000  0.0000  0.1141 x6

electronic total energy	-4.859	eV per atom
mass density	15.09	g cm⁻³
V	183.64	Å³/cell


5.
A plane-wave DFT calculation with PBE was carried out for an optimized crystal structure of Ho6HPt2.

a = 6.400 Å, b = 7.001 Å, c = 11.506 Å
α = 90.00°, β = 123.24°, γ = 90.00°
Space group P2_1/c (No. 14)
Asymmetric unit:
Ho  0.113  0.026  0.251 x4
Ho  0.237  0.676  0.062 x4
Ho  0.386  0.180  0.060 x4
H  0.000  0.000  0.000 x2
Pt  0.311  0.116  0.752 x4

electronic total energy	-5.491	eV per atom
mass density	10.64	g cm⁻³
V	431.17	Å³/cell


6.
A plane-wave DFT calculation with PBE was carried out for an optimized crystal structure of HoHPt.

a = 7.973 Å, b = 8.972 Å, c = 13.041 Å
α = 90.00°, β = 90.00°, γ = 90.00°
Space group Fddd (No. 70, origin choice 2)
Asymmetric unit:
Ho  0.125  0.347  0.125 x16
H  0.000  0.000  0.000 x16
Pt  0.125  0.125  0.517 x16

electronic total energy	-5.149	eV per atom
mass density	10.28	g cm⁻³
V	932.79	Å³/cell
energy above the lowest structure with this stoichiometry	9.208	kcal/mol of atoms


7.
A plane-wave DFT calculation with PBE was carried out for an optimized crystal structure of HoHPt.

a = 3.784 Å, b = 10.471 Å, c = 4.677 Å
α = 90.00°, β = 90.00°, γ = 90.00°
Space group Cmcm (No. 63)
Asymmetric unit:
Ho  0.000  0.137  0.250 x4
H  0.000  0.100  0.750 x4
Pt  0.000  0.411  0.250 x4

electronic total energy	-5.548	eV per atom
mass density	12.94	g cm⁻³
V	185.28	Å³/cell
energy above the lowest structure with this stoichiometry	0.000	kcal/mol of atoms


8.
A plane-wave DFT calculation with PBE was carried out for an optimized crystal structure of HoH2Pt.

a = 4.0738 Å, b = 4.0738 Å, c = 11.1217 Å
α = 90.00°, β = 90.00°, γ = 120.00°
Space group R-3m (No. 166, hexagonal axes)
Asymmetric unit:
Ho  0.0000  0.0000  0.0000 x3
H  0.0000  0.0000  0.3497 x6
Pt  0.0000  0.0000  0.5000 x3

electronic total energy	-5.007	eV per atom
mass density	11.28	g cm⁻³
V	159.84	Å³/cell


9.
A plane-wave DFT calculation with PBE was carried out for an optimized crystal structure of Ho2HPt6.

a = 8.272 Å, b = 8.272 Å, c = 8.272 Å
α = 90.00°, β = 90.00°, γ = 90.00°
Space group Fm-3m (No. 225)
Asymmetric unit:
Ho  0.250  0.250  0.250 x8
H  0.000  0.000  0.000 x4
Pt  0.000  0.000  0.252 x24

electronic total energy	-6.341	eV per atom
mass density	17.62	g cm⁻³
V	566.05	Å³/cell


10.
A plane-wave DFT calculation with PBE was carried out for an optimized crystal structure of HoHPt.

a = 3.9419 Å, b = 3.9419 Å, c = 3.5459 Å
α = 90.00°, β = 90.00°, γ = 120.00°
Space group P3m1 (No. 156)
Asymmetric unit:
Ho  0.0000  0.0000  0.0000 x1
H  0.6667  0.3333  0.5027 x1
Pt  0.3333  0.6667  0.5005 x1

electronic total energy	-5.296	eV per atom
mass density	12.56	g cm⁻³
V	47.72	Å³/cell
energy above the lowest structure with this stoichiometry	5.804	kcal/mol of atoms


11.
A plane-wave DFT calculation with PBE was carried out for an optimized crystal structure of Ho2HPtRh6.

a = 8.966 Å, b = 5.575 Å, c = 7.060 Å
α = 90.00°, β = 115.00°, γ = 90.00°
Space group C2/m (No. 12)
Asymmetric unit:
Ho  0.231  0.000  0.153 x4
H  0.000  0.000  0.500 x2
Pt  0.000  0.500  0.000 x2
Rh  0.080  0.264  0.366 x8
Rh  0.198  0.000  0.724 x4

electronic total energy	-6.713	eV per atom
mass density	11.87	g cm⁻³
V	319.80	Å³/cell


12.
A plane-wave DFT calculation with PBE was carried out for an optimized crystal structure of HoHPt2Rh.

a = 4.102 Å, b = 4.102 Å, c = 4.191 Å
α = 90.00°, β = 90.00°, γ = 90.00°
Space group P4/mmm (No. 123)
Asymmetric unit:
Ho  0.000  0.000  0.000 x1
H  0.500  0.500  0.500 x1
Pt  0.000  0.500  0.500 x2
Rh  0.500  0.500  0.000 x1

electronic total energy	-6.194	eV per atom
mass density	15.52	g cm⁻³
V	70.51	Å³/cell


13.
A plane-wave DFT calculation with PBE was carried out for an optimized crystal structure of HoH8PtRh4.

a = 5.6539 Å, b = 5.6539 Å, c = 13.7328 Å
α = 90.00°, β = 90.00°, γ = 120.00°
Space group R3m (No. 160, hexagonal axes)
Asymmetric unit:
Ho  0.0000  0.0000  0.0000 x3
H  0.0000  0.0000  0.1571 x3
H  0.0000  0.0000  0.6170 x3
H  0.1992  0.3984  0.5030 x9
H  0.2114  0.4229  0.9530 x9
Pt  0.0000  0.0000  0.3850 x3
Rh  0.0000  0.0000  0.7517 x3
Rh  0.1690  0.3379  0.2107 x9

electronic total energy	-4.964	eV per atom
mass density	10.22	g cm⁻³
V	380.18	Å³/cell


14.
A plane-wave DFT calculation with PBE was carried out for an optimized crystal structure of HoPuH.

a = 3.4672 Å, b = 3.4672 Å, c = 5.7031 Å
α = 90.00°, β = 90.00°, γ = 120.00°
Space group P3m1 (No. 156)
Asymmetric unit:
Ho  0.0000  0.0000  0.0000 x1
Pu  0.6667  0.3333  0.5066 x1
H  0.3333  0.6667  0.7610 x1

electronic total energy	-7.524	eV per atom
mass density	11.46	g cm⁻³
V	59.38	Å³/cell
energy above the lowest structure with this stoichiometry	0.000	kcal/mol of atoms


15.
A plane-wave DFT calculation with PBE was carried out for an optimized crystal structure of HoPuH.

a = 11.327 Å, b = 3.383 Å, c = 5.867 Å
α = 90.00°, β = 93.41°, γ = 90.00°
Space group Cm (No. 8)
Asymmetric unit:
Ho  0.000  0.000  0.000 x2
Ho  0.240  0.500  0.891 x2
Pu  0.175  0.500  0.406 x2
Pu  0.344  0.000  0.421 x2
H  0.011  0.000  0.384 x2
H  0.374  0.000  0.830 x2

electronic total energy	-7.439	eV per atom
mass density	12.13	g cm⁻³
V	224.43	Å³/cell
energy above the lowest structure with this stoichiometry	1.959	kcal/mol of atoms


16.
A plane-wave DFT calculation with PBE was carried out for an optimized crystal structure of Ho2PuH.

a = 3.239 Å, b = 3.239 Å, c = 8.408 Å
α = 90.00°, β = 90.00°, γ = 90.00°
Space group P4/mmm (No. 123)
Asymmetric unit:
Ho  0.000  0.000  0.195 x2
Pu  0.500  0.500  0.500 x1
H  0.500  0.500  0.000 x1

electronic total energy	-6.539	eV per atom
mass density	10.82	g cm⁻³
V	88.23	Å³/cell
energy above the lowest structure with this stoichiometry	2.153	kcal/mol of atoms


17.
A plane-wave DFT calculation with PBE was carried out for an optimized crystal structure of Ho5Pu3H12.

a = 12.975 Å, b = 12.975 Å, c = 12.975 Å
α = 90.00°, β = 90.00°, γ = 90.00°
Space group Ia-3d (No. 230)
Asymmetric unit:
Ho  0.000  0.000  0.000 x16
Ho  0.000  0.250  0.375 x24
Pu  0.000  0.250  0.125 x24
H  0.006  0.071  0.654 x96

electronic total energy	-5.672	eV per atom
mass density	9.54	g cm⁻³
V	2184.58	Å³/cell


18.
A plane-wave DFT calculation with PBE was carried out for an optimized crystal structure of Ho2PuH.

a = 3.4122 Å, b = 3.4122 Å, c = 27.7026 Å
α = 90.00°, β = 90.00°, γ = 120.00°
Space group R-3m (No. 166, hexagonal axes)
Asymmetric unit:
Ho  0.0000  0.0000  0.1179 x6
Pu  0.0000  0.0000  0.0000 x3
H  0.0000  0.0000  0.5000 x3

electronic total energy	-6.633	eV per atom
mass density	10.25	g cm⁻³
V	279.34	Å³/cell
energy above the lowest structure with this stoichiometry	0.000	kcal/mol of atoms


19.
A plane-wave DFT calculation with PBE was carried out for an optimized crystal structure of HoPuH8Rh2.

a = 4.5386 Å, b = 4.5386 Å, c = 18.7631 Å
α = 90.00°, β = 90.00°, γ = 120.00°
Space group R-3m (No. 166, hexagonal axes)
Asymmetric unit:
Ho  0.0000  0.0000  0.0000 x3
Pu  0.0000  0.0000  0.5000 x3
H  0.0000  0.0000  0.1382 x6
H  0.0354  0.5177  0.0546 x18
Rh  0.0000  0.0000  0.2323 x6

electronic total energy	-5.256	eV per atom
mass density	9.27	g cm⁻³
V	334.71	Å³/cell


20.
A plane-wave DFT calculation with PBE was carried out for an optimized crystal structure of HoPuHSe2.

a = 4.037 Å, b = 4.037 Å, c = 12.516 Å
α = 90.00°, β = 90.00°, γ = 90.00°
Space group P4/nmm (No. 129, origin choice 2)
Asymmetric unit:
Ho  0.250  0.250  0.110 x2
Pu  0.250  0.250  0.593 x2
H  0.250  0.750  0.500 x2
Se  0.250  0.250  0.335 x2
Se  0.250  0.250  0.876 x2

electronic total energy	-7.199	eV per atom
mass density	9.25	g cm⁻³
V	203.97	Å³/cell